VASP calculation (GGA-PBE) on a relaxed structure of Er3Ga2Cu9.

Properties
- Calculated volume: 448.6 Å³/cell
- Total moment: 0.00 Bohr magnetons per cell
- ΔH_f (0 K): -280 meV/atom
- Density of states at the Fermi level: 13.264 states/eV per cell

Cell lengths 4.2065, 8.6111, 12.3847 Å; angles 90.00, 90.00, 90.00 degrees
With the nearest neighbours (Å) after each atom.
Space group Immm (No. 71)
Asymmetric unit:
Er  0.0000  0.0000  0.0000  12 Cu 2.96-3.18
Er  0.0000  0.0000  0.2927  12 Cu 2.91-3.16, 2 Ga 3.04
Ga  0.0000  0.1900  0.5000  8 Cu 2.50-2.68
Cu  0.0000  0.2854  0.1327  4 Cu 2.47-2.58, 2 Ga 2.68
Cu  0.0000  0.3567  0.3351  4 Cu 2.47-2.58, 1 Ga 2.50
Cu  0.0000  0.5000  0.0000  4 Cu 2.47, 4 Ga 2.66

---

VASP calculation (GGA-PBE) on a relaxed structure of NiTe2Ir.

Properties
- Calculated volume: 151.2 Å³/cell
- Total moment: 0.00 Bohr magnetons per cell
- E_form (uncorrected): 0.4344 eV per atom
- Density of states at the Fermi level: 5.716 states/eV per cell

Cell lengths 3.1015, 4.8481, 10.0578 Å; angles 90.00, 90.00, 90.00 degrees
With the nearest neighbours (Å) after each atom.
Space group Imm2 (No. 44)
Asymmetric unit:
Ni  0.0000  0.0000  0.0000  2 Ir 2.81, 6 Te 2.84-2.90, 2 Ni 3.10
Te  0.0000  0.0000  0.5336  2 Ir 2.81, 4 Ni 2.90, 2 Te 3.10
Te  0.0000  0.5000  0.7368  2 Ni 2.84, 4 Ir 2.89, 4 Te 3.10-3.17
Ir  0.0000  0.5000  0.2668  6 Te 2.81-2.89, 2 Ni 2.81, 2 Ir 3.10

---

VASP calculation (GGA-PBE) on a relaxed structure of Cd2Ga2Sn.

Properties
- Calculated volume: 226.7 Å³/cell
- Total moment: 0.00 Bohr magnetons per cell
- ΔH_f (0 K): 52 meV/atom
- Density of states at the Fermi level: 2.494 states/eV per cell

Cell lengths 17.7466, 4.1869, 3.0836 Å; angles 90.00, 98.38, 90.00 degrees
With the nearest neighbours (Å) after each atom.
Space group C2/m (No. 12)
Asymmetric unit:
Cd  0.1124  0.0000  0.1105  5 Ga 3.06-3.16, 2 Cd 3.08, 4 Sn 3.24-3.29
Ga  0.2078  0.5000  0.7102  6 Ga 2.98-3.08, 5 Cd 3.06-3.16
Sn  0.0000  0.5000  0.5000  2 Sn 3.08, 8 Cd 3.24-3.29